--- w ---
VASP calculation (PBE-GGA) on a relaxed ZnSi3B crystal.

extended XYZ file:
```
5
Lattice="4.1621 0.0000 0.0000 0.0000 4.1621 0.0000 0.0000 0.0000 4.1621" Properties=species:S:1:pos:R:3 pbc="T T T"
Zn 0.0000 0.0000 0.0000
Si 0.0000 2.0811 2.0811
Si 2.0811 0.0000 2.0811
Si 2.0811 2.0811 0.0000
B 2.0811 2.0811 2.0811
```

## Properties
V	14.42	Å³ per atom
crystal system	cubic

***

--- x ---
VASP calculation (PBE-GGA) on a relaxed ZnSi3B crystal.

extended XYZ file:
```
5
Lattice="4.5980 0.0000 0.0000 0.0000 4.5980 0.0000 0.0000 0.0000 4.5980" Properties=species:S:1:pos:R:3 pbc="T T T"
Zn 0.0000 0.0000 0.0000
Si 0.0000 0.0000 2.2990
Si 0.0000 2.2990 0.0000
Si 2.2990 0.0000 0.0000
B 2.2990 2.2990 2.2990
```

## Properties
V	19.44	Å³ per atom
crystal system	cubic

***

The least stable of them is x.